The following is a DFT calculation (GGA-PBE) of crystalline Ga2AgTeO6 at its relaxed geometry.

Values from the calculation:
As for the calculated density: 5.79 g/cm3. The total magnetic moment is 0.06 μB/atom. The calculation puts the energy relative to the elements, uncorrected at -1.179 eV/atom. As for the total DFT energy (no corrections): -107.2 eV per cell.

Cell lengths 5.7727, 6.9201, 6.9201 Å; angles 84.43, 81.81, 81.81 degrees
With the nearest neighbours (Å) after each atom.
Positions (direct):
Ga 0.7418 0.6044 0.7924  4 O 1.86-1.91
O 0.0559 0.2770 0.4044  2 Ga 1.86-1.87
Ga 0.2418 0.7924 0.6044  4 O 1.86-1.91
O 0.0957 0.6430 0.1475  1 Ga 1.87, 1 Te 2.09
Ga 0.7582 0.2076 0.3956  4 O 1.86-1.91
O 0.6743 0.7634 0.0090  1 Ga 1.91, 1 Te 1.98
Ag 0.2500 0.9201 0.0799  4 O 2.21-2.30
O 0.4441 0.5956 0.7230  2 Ga 1.86-1.87
O 0.1743 0.0090 0.7634  1 Ga 1.91, 1 Te 1.98
O 0.9441 0.7230 0.5956  2 Ga 1.86-1.87
O 0.3257 0.2366 0.9910  1 Ga 1.91, 1 Te 1.98
Ag 0.7500 0.0799 0.9201  4 O 2.21-2.30
O 0.4043 0.8525 0.3570  1 Ga 1.87, 1 Te 2.09
Te 0.2500 0.2817 0.7183  4 O 1.98-2.09
O 0.5957 0.1475 0.6430  1 Ga 1.87, 1 Te 2.09
Ga 0.2582 0.3956 0.2076  4 O 1.86-1.91
Te 0.7500 0.7183 0.2817  4 O 1.98-2.09
O 0.8257 0.9910 0.2366  1 Ga 1.91, 1 Te 1.98
O 0.5559 0.4044 0.2770  2 Ga 1.86-1.87
O 0.9043 0.3570 0.8525  1 Ga 1.87, 1 Te 2.09

=====

The following is a DFT calculation (GGA-PBE) of crystalline GaAg2TeO4 at its relaxed geometry.

Values from the calculation:
As for the calculated density: 6.39 g/cm3. The total magnetic moment is 0.00 μB/atom. The calculation puts the energy relative to the elements, uncorrected at -0.733 eV/atom. As for the total DFT energy (no corrections): -37.6 eV per cell.

Cell lengths 5.0351, 5.6364, 5.5293 Å; angles 119.39, 114.88, 76.38 degrees
With the nearest neighbours (Å) after each atom.
Positions (direct):
O 0.7502 0.6484 0.7778  1 Ga 1.90, 1 Te 2.06
O 0.3020 0.7428 0.2419  1 Ga 1.87, 1 Te 2.01
Ga 0.7013 0.7265 0.4634  4 O 1.87-1.90
Te 0.0825 0.4023 0.9232  4 O 2.01-2.14
O 0.8949 0.4487 0.2127  1 Ga 1.90, 1 Te 2.07
O 0.7704 0.0908 0.6027  1 Ga 1.87
Ag 0.5908 0.0614 0.0772  1 O 2.29
Ag 0.2950 0.2662 0.4752  2 O 2.29-2.31

=====

The following is a DFT calculation (GGA-PBE) of crystalline GaAgTeO6 at its relaxed geometry.

Values from the calculation:
As for the calculated density: 6.12 g/cm3. The total magnetic moment is 0.00 μB/atom. The calculation puts the energy relative to the elements, uncorrected at -0.833 eV/atom. As for the total DFT energy (no corrections): -92.5 eV per cell.

Cell lengths 5.2210, 5.2210, 9.2254 Å; angles 90.00, 90.00, 120.00 degrees
With the nearest neighbours (Å) after each atom.
Positions (direct):
O 0.6410 0.0056 0.8639  1 Te 1.95, 1 Ga 1.99
Te 0.6667 0.3333 0.7500  6 O 1.95
O 0.6354 0.9944 0.3639  1 Te 1.95, 1 Ga 1.99
Ag 0.0000 0.0000 0.5000  6 O 2.27
O 0.3590 0.3646 0.3639  1 Te 1.95, 1 Ga 1.99
O 0.0056 0.3646 0.1361  1 Te 1.95, 1 Ga 1.99
Ga 0.6667 0.3333 0.2500  6 O 1.99
O 0.3646 0.0056 0.6361  1 Te 1.95, 1 Ga 1.99
Ag 0.0000 0.0000 0.0000  6 O 2.27
O 0.9944 0.6354 0.8639  1 Te 1.95, 1 Ga 1.99
O 0.3646 0.3590 0.8639  1 Te 1.95, 1 Ga 1.99
Te 0.3333 0.6667 0.2500  6 O 1.95
Ga 0.3333 0.6667 0.7500  6 O 1.99
O 0.6354 0.6410 0.1361  1 Te 1.95, 1 Ga 1.99
O 0.0056 0.6410 0.3639  1 Te 1.95, 1 Ga 1.99
O 0.3590 0.9944 0.1361  1 Te 1.95, 1 Ga 1.99
O 0.6410 0.6354 0.6361  1 Te 1.95, 1 Ga 1.99
O 0.9944 0.3590 0.6361  1 Te 1.95, 1 Ga 1.99

=====

The following is a DFT calculation (GGA-PBE) of crystalline Ga2AgTeO8 at its relaxed geometry.

Values from the calculation:
As for the calculated density: 6.11 g/cm3. The total magnetic moment is 0.00 μB/atom. The calculation puts the energy relative to the elements, uncorrected at -0.960 eV/atom. As for the total DFT energy (no corrections): -63.2 eV per cell.

Cell lengths 4.6953, 4.6816, 6.2265 Å; angles 90.00, 90.00, 92.48 degrees
With the nearest neighbours (Å) after each atom.
Positions (direct):
O 0.6764 0.6812 0.5000  2 Ga 1.94, 1 Ag 2.08
O 0.1911 0.8053 0.7692  1 Te 1.94, 1 Ga 2.08, 1 Ag 2.13
Te 0.0000 0.0000 0.0000  6 O 1.94-1.98
O 0.8089 0.1947 0.2308  1 Te 1.94, 1 Ga 2.08, 1 Ag 2.13
O 0.1911 0.8053 0.2308  1 Te 1.94, 1 Ga 2.08, 1 Ag 2.13
O 0.6932 0.6961 0.0000  1 Te 1.98, 2 Ga 2.01
Ag 0.0000 0.0000 0.5000  6 O 2.08-2.13
O 0.3068 0.3039 0.0000  1 Te 1.98, 2 Ga 2.01
Ga 0.5000 0.5000 0.2506  6 O 1.94-2.08
O 0.3236 0.3188 0.5000  2 Ga 1.94, 1 Ag 2.08
Ga 0.5000 0.5000 0.7494  6 O 1.94-2.08
O 0.8089 0.1947 0.7692  1 Te 1.94, 1 Ga 2.08, 1 Ag 2.13

=====

The following is a DFT calculation (GGA-PBE) of crystalline Tl3GaAg3O8 at its relaxed geometry.

Values from the calculation:
As for the calculated density: 8.31 g/cm3. The total magnetic moment is 0.00 μB/atom. The calculation puts the energy relative to the elements, uncorrected at -0.575 eV/atom. As for the total DFT energy (no corrections): -67.0 eV per cell.

Cell lengths 6.6977, 6.6902, 7.5712 Å; angles 123.41, 90.00, 120.04 degrees
With the nearest neighbours (Å) after each atom.
Positions (direct):
Ag 0.0000 0.0000 0.0000  2 O 2.19
O 0.7586 0.5171 0.7134  1 Ag 2.19, 3 Tl 2.29-2.33
O 0.2120 0.9710 0.3000  1 Ga 2.07, 1 Ag 2.18, 1 Tl 2.31
O 0.2410 0.0290 0.7000  1 Ga 2.07, 1 Ag 2.18, 1 Tl 2.31
Tl 0.5000 0.5000 0.5000  6 O 2.29-2.41
O 0.2414 0.4829 0.2866  1 Ag 2.19, 3 Tl 2.29-2.33
Tl 0.0000 0.5000 0.5000  6 O 2.29-2.41
O 0.7762 0.5524 0.3209  1 Ga 2.02
Ag 0.0000 0.5000 0.0000  2 O 2.18
O 0.2238 0.4476 0.6791  1 Ga 2.02
O 0.7880 0.0290 0.7000  1 Ga 2.07, 1 Ag 2.18, 1 Tl 2.31
Tl 0.5000 0.0000 0.5000  6 O 2.31-2.33
O 0.7590 0.9710 0.3000  1 Ga 2.07, 1 Ag 2.18, 1 Tl 2.31
Ga 0.0000 0.0000 0.5000  6 O 2.02-2.07
Ag 0.5000 0.5000 0.0000  2 O 2.18

=====

The following is a DFT calculation (GGA-PBE) of crystalline UGaAg2O6 at its relaxed geometry.

Values from the calculation:
As for the calculated density: 8.11 g/cm3. The total magnetic moment is 0.00 μB/atom. The calculation puts the energy relative to the elements, uncorrected at -1.610 eV/atom. As for the total DFT energy (no corrections): -65.9 eV per cell.

Cell lengths 5.5586, 5.7998, 5.6484 Å; angles 120.89, 120.05, 90.00 degrees
With the nearest neighbours (Å) after each atom.
Positions (direct):
O 0.8000 0.2999 0.1173  1 Ga 1.99, 1 U 2.13
O 0.2000 0.7001 0.8827  1 Ga 1.99, 1 U 2.13
O 0.8000 0.8174 0.1173  1 Ga 1.99, 1 U 2.13
U 0.0000 0.5000 0.0000  6 O 2.05-2.13
O 0.3598 0.7492 0.4985  1 U 2.05, 1 Ga 2.08
O 0.6402 0.2508 0.5015  1 U 2.05, 1 Ga 2.08
O 0.2000 0.1826 0.8827  1 Ga 1.99, 1 U 2.13
Ga 0.5000 0.0000 0.0000  6 O 1.99-2.08
Ag 0.2191 0.2481 0.4963  5 O 2.33-2.45
Ag 0.7809 0.7519 0.5037  5 O 2.33-2.45

=====

The following is a DFT calculation (GGA-PBE) of crystalline UGa2AgO8 at its relaxed geometry.

Values from the calculation:
As for the calculated density: 6.95 g/cm3. The total magnetic moment is 0.04 μB/atom. The calculation puts the energy relative to the elements, uncorrected at -1.616 eV/atom. As for the total DFT energy (no corrections): -79.3 eV per cell.

Cell lengths 4.8426, 4.8333, 6.2678 Å; angles 88.56, 91.43, 91.78 degrees
With the nearest neighbours (Å) after each atom.
Positions (direct):
U 0.0000 0.0000 0.0000  6 O 2.01-2.12
Ga 0.5055 0.4944 0.2557  6 O 1.96-2.07
O 0.3207 0.3178 0.5001  2 Ga 1.96, 1 Ag 2.15
O 0.6848 0.6870 0.0000  2 Ga 2.03, 1 U 2.12
Ag 0.0000 0.0000 0.5000  6 O 2.07-2.26
O 0.6793 0.6822 0.4999  2 Ga 1.96, 1 Ag 2.15
O 0.2070 0.7905 0.2315  1 U 2.01, 1 Ga 2.07
Ga 0.4945 0.5056 0.7443  6 O 1.96-2.07
O 0.1985 0.7991 0.7534  1 Ga 2.05, 1 Ag 2.07, 1 U 2.11
O 0.3152 0.3130 0.0000  2 Ga 2.03, 1 U 2.12
O 0.7930 0.2095 0.7685  1 U 2.01, 1 Ga 2.07
O 0.8015 0.2009 0.2466  1 Ga 2.05, 1 Ag 2.07, 1 U 2.11